1.
A relaxed PaHg2Pb crystal. Source: Alexandria via LeMat-Bulk, functional GGA-PBE.

magnetic moment: 1.1 μB/f.u.
space-group type: Fm-3m (225)

The structure in extended XYZ format:
```
4
Lattice="5.281 0.000 0.000 2.641 4.574 0.000 2.641 1.525 4.312" Properties=species:S:1:pos:R:3 pbc="T T T"
Pa 0.000 0.000 0.000
Pb 5.281 3.049 2.156
Hg 7.922 4.574 3.234
Hg 2.641 1.525 1.078
```


2.
A relaxed PaHgPb2 crystal. Source: Alexandria via LeMat-Bulk, functional GGA-PBE.

magnetic moment: 0.2 μB/f.u.
space-group type: R-3m (166)

The structure in extended XYZ format:
```
4
Lattice="3.321 0.000 0.000 1.660 2.876 0.000 1.660 0.959 12.010" Properties=species:S:1:pos:R:3 pbc="T T T"
Pb 1.660 0.959 8.738
Pb 4.981 2.876 3.273
Hg 3.321 1.917 6.005
Pa 0.000 0.000 0.000
```


3.
A relaxed PaHgPb crystal. Source: Alexandria via LeMat-Bulk, functional GGA-PBE.

magnetic moment: 0.0 μB/f.u.
space-group type: P4/nmm (129)

The structure in extended XYZ format:
```
6
Lattice="4.065 0.000 0.000 0.000 4.065 0.000 0.000 0.000 9.603" Properties=species:S:1:pos:R:3 pbc="T T T"
Hg 2.033 0.000 3.946
Hg 0.000 2.033 5.657
Pa 2.033 0.000 0.574
Pa 0.000 2.033 9.030
Pb 2.033 0.000 7.071
Pb 0.000 2.033 2.533
```


no.,calculated formation energy (eV per atom)
1,0.14
2,0.34
3,0.14